## TcSn2Pd (PBE)

Data for crystalline TcSn2Pd at its relaxed geometry.

raw total energy = -5.881 eV per atom
DFT formation energy = 0.0104 eV/atom

```
data_TcSn2Pd
_space_group_name_H-M_alt 'F m -3 m'
_space_group_IT_number 225
_space_group_name_Hall '-F 4 2 3'
_cell_length_a 6.6240
_cell_length_b 6.6240
_cell_length_c 6.6240
_cell_angle_alpha 90.00
_cell_angle_beta 90.00
_cell_angle_gamma 90.00
loop_
_atom_site_label
_atom_site_fract_x
_atom_site_fract_y
_atom_site_fract_z
_atom_site_occupancy
Tc1 0.0000 0.0000 0.0000 1
Sn1 0.2500 0.2500 0.2500 1
Pd1 0.0000 0.0000 0.5000 1
```

---

## TiAs2OsSe (PBE)

Data for crystalline TiAs2OsSe at its relaxed geometry.

energy relative to the elements, uncorrected = 1.030 eV/atom
raw total energy = -5.352 eV per atom

```
data_TiAs2OsSe
_space_group_name_H-M_alt 'P 4/m m m'
_space_group_IT_number 123
_space_group_name_Hall '-P 4 2'
_cell_length_a 4.8361
_cell_length_b 4.8361
_cell_length_c 4.7307
_cell_angle_alpha 90.00
_cell_angle_beta 90.00
_cell_angle_gamma 90.00
loop_
_atom_site_label
_atom_site_fract_x
_atom_site_fract_y
_atom_site_fract_z
_atom_site_occupancy
Ti1 0.0000 0.0000 0.0000 1
As1 0.0000 0.5000 0.0000 1
Os1 0.5000 0.5000 0.5000 1
Se1 0.0000 0.0000 0.5000 1
```

---

## NaTb3Hg4 (PBE)

Data for crystalline NaTb3Hg4 at its relaxed geometry.

raw total energy = -2.473 eV per atom
DFT formation energy = -0.4205 eV/atom

```
data_NaTb3Hg4
_space_group_name_H-M_alt 'R -3 m'
_space_group_IT_number 166
_space_group_name_Hall '-R 3 2"'
_cell_length_a 5.2363
_cell_length_b 5.2363
_cell_length_c 25.8146
_cell_angle_alpha 90.00
_cell_angle_beta 90.00
_cell_angle_gamma 120.00
loop_
_atom_site_label
_atom_site_fract_x
_atom_site_fract_y
_atom_site_fract_z
_atom_site_occupancy
Na1 0.0000 0.0000 0.0000 1
Tb1 0.0000 0.0000 0.2534 1
Tb2 0.0000 0.0000 0.5000 1
Hg1 0.0000 0.0000 0.1257 1
Hg2 0.0000 0.0000 0.3757 1
```

---

## RbInPCl2 (PBE)

Data for crystalline RbInPCl2 at its relaxed geometry.

energy relative to the elements, uncorrected = -0.656 eV/atom
raw total energy = -3.217 eV per atom

```
data_RbInPCl2
_space_group_name_H-M_alt 'P 4/m m m'
_space_group_IT_number 123
_space_group_name_Hall '-P 4 2'
_cell_length_a 5.5325
_cell_length_b 5.5325
_cell_length_c 5.1054
_cell_angle_alpha 90.00
_cell_angle_beta 90.00
_cell_angle_gamma 90.00
loop_
_atom_site_label
_atom_site_fract_x
_atom_site_fract_y
_atom_site_fract_z
_atom_site_occupancy
Rb1 0.0000 0.0000 0.0000 1
In1 0.5000 0.5000 0.5000 1
P1 0.5000 0.5000 0.0000 1
Cl1 0.0000 0.5000 0.5000 1
```

---

## Cs3Pr2SmTe6 (PBE)

Data for crystalline Cs3Pr2SmTe6 at its relaxed geometry.

energy relative to the elements, uncorrected = -1.414 eV/atom
raw total energy = -4.389 eV per atom

```
data_Cs3Pr2SmTe6
_space_group_name_H-M_alt 'C 1 2/m 1'
_space_group_IT_number 12
_cell_length_a 8.1104
_cell_length_b 14.0470
_cell_length_c 9.3505
_cell_angle_alpha 90.00
_cell_angle_beta 106.80
_cell_angle_gamma 90.00
loop_
_space_group_symop_operation_xyz
'x,y,z'
'-x,-y,-z'
'-x,y,-z'
'x,-y,z'
'x+1/2,y+1/2,z'
'-x+1/2,-y+1/2,-z'
'-x+1/2,y+1/2,-z'
'x+1/2,-y+1/2,z'
loop_
_atom_site_label
_atom_site_fract_x
_atom_site_fract_y
_atom_site_fract_z
_atom_site_occupancy
Cs1 0.0000 0.0000 0.0000 1
Cs2 0.0000 0.3320 0.0000 1
Pr1 0.0000 0.1665 0.5000 1
Sm1 0.0000 0.5000 0.5000 1
Te1 0.2294 0.3355 0.6950 1
Te2 0.2363 0.0000 0.6956 1
```

---

## Mg3ScPt (PBE)

Data for crystalline Mg3ScPt at its relaxed geometry.

raw total energy = -2.104 eV per atom
DFT formation energy = 1.3277 eV/atom

```
data_Mg3ScPt
_space_group_name_H-M_alt 'P m -3 m'
_space_group_IT_number 221
_space_group_name_Hall '-P 4 2 3'
_cell_length_a 5.3563
_cell_length_b 5.3563
_cell_length_c 5.3563
_cell_angle_alpha 90.00
_cell_angle_beta 90.00
_cell_angle_gamma 90.00
loop_
_atom_site_label
_atom_site_fract_x
_atom_site_fract_y
_atom_site_fract_z
_atom_site_occupancy
Mg1 0.0000 0.0000 0.5000 1
Sc1 0.0000 0.0000 0.0000 1
Pt1 0.5000 0.5000 0.5000 1
```

---

Q: What is the formula in the second record?
A: TiAs2OsSe

---

Q: Which of these has the highest raw total energy?
A: Mg3ScPt